1.
Density functional theory data (SCAN) for a PBEsol-optimized structure of MnTe2F.

E_tot = -24.767 eV per atom
Polymorph energy (0 for the lowest one) = 25.1 meV per atom
Formation energy without anion corrections = -0.693 eV per atom

Unit cell a=4.636 b=4.636 c=4.636 alpha=60.00 beta=60.00 gamma=60.00
Fractional coordinates of all 4 atoms:
Mn 0.000 0.000 0.000
Te 0.250 0.250 0.250
Te 0.750 0.750 0.750
F 0.500 0.500 0.500


2.
Density functional theory data (SCAN) for a PBEsol-optimized structure of MnTe2F.

E_tot = -24.792 eV per atom
Polymorph energy (0 for the lowest one) = 0.0 meV per atom
Formation energy without anion corrections = -0.718 eV per atom

Unit cell a=7.663 b=7.663 c=7.663 alpha=29.41 beta=29.41 gamma=29.41
Fractional coordinates of all 4 atoms:
Mn 0.000 0.000 0.000
Te 0.396 0.396 0.396
Te 0.604 0.604 0.604
F 0.500 0.500 0.500


3.
Density functional theory data (SCAN) for a PBEsol-optimized structure of MnTlF2.

E_tot = -26.116 eV per atom
Formation energy without anion corrections = -1.692 eV per atom

Unit cell a=8.053 b=8.053 c=8.053 alpha=23.21 beta=23.21 gamma=23.21
Fractional coordinates of all 4 atoms:
Mn 0.000 0.000 0.000
Tl 0.500 0.500 0.500
F 0.078 0.078 0.078
F 0.922 0.922 0.922


4.
Density functional theory data (SCAN) for a PBEsol-optimized structure of MnW3F.

E_tot = -45.177 eV per atom
Formation energy without anion corrections = 0.995 eV per atom

Unit cell a=4.144 b=4.144 c=4.144 alpha=90.00 beta=90.00 gamma=90.00
Fractional coordinates of all 5 atoms:
Mn 0.000 0.000 0.000
W 0.000 0.500 0.500
W 0.500 0.000 0.500
W 0.500 0.500 0.000
F 0.500 0.500 0.500


5.
Density functional theory data (SCAN) for a PBEsol-optimized structure of MnW2F.

E_tot = -39.929 eV per atom
Formation energy without anion corrections = 0.364 eV per atom

Unit cell a=4.161 b=4.161 c=4.161 alpha=60.00 beta=60.00 gamma=60.00
Fractional coordinates of all 4 atoms:
Mn 0.000 0.000 0.000
W 0.250 0.250 0.250
W 0.750 0.750 0.750
F 0.500 0.500 0.500


6.
Density functional theory data (SCAN) for a PBEsol-optimized structure of Mn3WF.

E_tot = -24.597 eV per atom
Formation energy without anion corrections = 1.002 eV per atom

Unit cell a=4.610 b=4.610 c=4.610 alpha=90.00 beta=90.00 gamma=90.00
Fractional coordinates of all 5 atoms:
Mn 0.000 0.000 0.500
Mn 0.000 0.500 0.000
Mn 0.500 0.000 0.000
W 0.000 0.000 0.000
F 0.500 0.500 0.500


7.
Density functional theory data (SCAN) for a PBEsol-optimized structure of Y3MnF.

E_tot = -21.165 eV per atom
Formation energy without anion corrections = -0.100 eV per atom

Unit cell a=5.124 b=5.124 c=5.124 alpha=90.00 beta=90.00 gamma=90.00
Fractional coordinates of all 5 atoms:
Y 0.000 0.000 0.500
Y 0.000 0.500 0.000
Y 0.500 0.000 0.000
Mn 0.000 0.000 0.000
F 0.500 0.500 0.500


8.
Density functional theory data (SCAN) for a PBEsol-optimized structure of YMnF2.

E_tot = -15.039 eV per atom
Formation energy without anion corrections = -1.745 eV per atom

Unit cell a=4.292 b=4.292 c=4.292 alpha=60.00 beta=60.00 gamma=60.00
Fractional coordinates of all 4 atoms:
Y 0.000 0.000 0.000
Mn 0.500 0.500 0.500
F 0.250 0.250 0.250
F 0.750 0.750 0.750